DFT (PBE-GGA) results for a relaxed structure of Y7Er3.

Cell lengths 9.451, 9.451, 9.451 Å; angles 146.54, 136.23, 56.19 degrees
Fractional coordinates of all 10 atoms:
Y (0.000, 0.000, 0.000)
Y (0.140, 0.390, 0.750)
Y (0.300, 0.800, 0.500)
Y (0.360, 0.610, 0.750)
Y (0.640, 0.390, 0.250)
Y (0.700, 0.200, 0.500)
Y (0.860, 0.610, 0.250)
Er (0.200, 0.200, 0.000)
Er (0.500, 0.000, 0.500)
Er (0.800, 0.800, 0.000)

Computed properties:
energy relative to the lowest polymorph listed for this composition: 0.0 meV/atom
calculated formation energy: 0.049 eV per atom
magnetic moment: 0.000 μB/cell
V: 32.0 Å³ per atom
DOS(E_F): 18.820 states/eV/cell